LiMn2Si2O7 PBE+U relaxed; spin magnetization = 9.000 μB per formula unit; total DFT energy (no corrections) = -7.44 eV/atom; crystal system = monoclinic
1.0
-4.3407 2.2498 0.6291
-4.0275 -2.7643 -0.6607
0.1310 -2.9436 13.3210
O Li Si Mn
14 2 4 4
direct
0.8016 0.2364 0.6474 O
0.8544 0.6630 0.5440 O
0.9424 0.6705 0.9325 O
0.7419 0.2930 0.8535 O
0.3370 0.1456 0.0440 O
0.3295 0.0576 0.4325 O
0.7636 0.1983 0.1474 O
0.1975 0.6583 0.1508 O
0.7070 0.2580 0.3536 O
0.3243 0.1401 0.2440 O
0.1028 0.6409 0.3585 O
0.3417 0.8025 0.6508 O
0.8599 0.6757 0.7440 O
0.3591 0.8972 0.8585 O
0.3519 0.2864 0.9149 Li
0.7136 0.6481 0.4148 Li
0.7179 0.6393 0.8548 Si
0.3986 0.2883 0.1421 Si
0.7117 0.6014 0.6420 Si
0.3607 0.2821 0.3548 Si
0.0462 0.9556 0.5196 Mn
0.9879 0.9489 0.2561 Mn
0.0444 0.9538 0.0196 Mn
0.0511 0.0121 0.7560 Mn